No. 1
VASP calculation (GGA-PBE) on a relaxed structure of CsNa2In. Values from VASP.

Cell and atoms, written as Quantum ESPRESSO input:
```
&SYSTEM
  ibrav = 0, nat = 4, ntyp = 3
/
ATOMIC_SPECIES
Na 22.99 Na.upf
In 114.82 In.upf
Cs 132.91 Cs.upf
ATOMIC_POSITIONS crystal
Na 0.000 0.500 0.000
Na 0.000 0.000 0.500
In 0.500 0.000 0.000
Cs 0.500 0.500 0.500
CELL_PARAMETERS angstrom
4.755 0.000 0.000
0.000 5.928 0.000
0.000 0.000 5.928
```

Results
**E_form**: 0.115 eV/atom
**SG**: P4/mmm, No. 123

No. 2
VASP calculation (GGA-PBE) on a relaxed structure of CsNa2In. Values from VASP.

Cell and atoms, written as Quantum ESPRESSO input:
```
&SYSTEM
  ibrav = 0, nat = 8, ntyp = 3
/
ATOMIC_SPECIES
Cs 132.91 Cs.upf
In 114.82 In.upf
Na 22.99 Na.upf
ATOMIC_POSITIONS crystal
Cs 0.750 0.250 0.500
Cs 0.000 0.000 0.000
In 0.500 0.500 0.000
In 0.250 0.750 0.500
Na 0.375 0.518 0.750
Na 0.268 0.625 0.250
Na 0.482 0.125 0.250
Na 0.875 0.732 0.750
CELL_PARAMETERS angstrom
5.916 0.000 0.000
0.000 5.916 0.000
2.958 2.958 11.581
```

Results
**E_form**: 0.142 eV/atom
**SG**: I-42d, No. 122

No. 3
VASP calculation (GGA-PBE) on a relaxed structure of Cs2Na3InO4. Values from VASP.

Cell and atoms, written as Quantum ESPRESSO input:
```
&SYSTEM
  ibrav = 0, nat = 40, ntyp = 4
/
ATOMIC_SPECIES
Cs 132.91 Cs.upf
Na 22.99 Na.upf
O 16.00 O.upf
In 114.82 In.upf
ATOMIC_POSITIONS crystal
Cs 0.229 0.713 0.890
Cs 0.729 0.287 0.610
Cs 0.271 0.713 0.390
Cs 0.001 0.732 0.134
Cs 0.501 0.268 0.366
Cs 0.499 0.732 0.634
Cs 0.999 0.268 0.866
Cs 0.771 0.287 0.110
Na 0.529 0.911 0.205
Na 0.011 0.637 0.569
Na 0.989 0.363 0.431
Na 0.254 0.391 0.200
Na 0.489 0.637 0.069
Na 0.511 0.363 0.931
Na 0.746 0.609 0.800
Na 0.971 0.911 0.705
Na 0.246 0.391 0.700
Na 0.471 0.089 0.795
Na 0.754 0.609 0.300
Na 0.029 0.089 0.295
O 0.435 0.261 0.123
O 0.319 0.760 0.149
O 0.690 0.777 0.114
O 0.608 0.792 0.391
O 0.810 0.777 0.614
O 0.819 0.240 0.351
O 0.892 0.792 0.891
O 0.392 0.208 0.609
O 0.181 0.760 0.649
O 0.190 0.223 0.386
O 0.935 0.739 0.377
O 0.565 0.739 0.877
O 0.310 0.223 0.886
O 0.108 0.208 0.109
O 0.681 0.240 0.851
O 0.065 0.261 0.623
In 0.715 0.899 0.936
In 0.785 0.899 0.436
In 0.285 0.101 0.064
In 0.215 0.101 0.564
CELL_PARAMETERS angstrom
10.367 0.000 0.000
0.000 6.459 -0.003
0.000 4.551 11.757
```

Results
**Formation energy (no corrections)**: -1.35 eV/atom
**SG**: P2_1/c, No. 14

No. 4
VASP calculation (GGA-PBE) on a relaxed structure of CsNa2InPd. Values from VASP.

Cell and atoms, written as Quantum ESPRESSO input:
```
&SYSTEM
  ibrav = 0, nat = 5, ntyp = 4
/
ATOMIC_SPECIES
Na 22.99 Na.upf
Cs 132.91 Cs.upf
In 114.82 In.upf
Pd 106.42 Pd.upf
ATOMIC_POSITIONS crystal
Na 0.000 0.500 0.000
Na 0.500 0.000 0.000
Cs 0.500 0.500 0.500
In 0.000 0.000 0.500
Pd 0.000 0.000 0.000
CELL_PARAMETERS angstrom
5.811 0.000 0.000
0.000 5.811 0.000
0.000 0.000 5.255
```

Results
**Energy above the lowest structure with this stoichiometry**: 0.00 kJ per mole of atoms
**E_form**: -0.124 eV/atom
**SG**: P4/mmm, No. 123